Below is Sc3Hg2Au after structural relaxation, with properties calculated at the PBE level.

Cell: 4.9236 4.9236 12.0603 Å, 90.00 90.00 120.00°
Atoms (fractional coordinates):
Sc 0.3333 0.6667 0.4152
Sc 0.6667 0.3333 0.0910
Sc 0.0000 0.0000 0.7451
Sc 0.0000 0.0000 0.2549
Sc 0.3333 0.6667 0.9090
Sc 0.6667 0.3333 0.5848
Hg 0.0000 0.0000 0.5000
Hg 0.3333 0.6667 0.1625
Hg 0.6667 0.3333 0.8375
Hg 0.0000 0.0000 0.0000
Au 0.3333 0.6667 0.6608
Au 0.6667 0.3333 0.3392

Output
Magnetic moment, μB per formula unit: 0.00
D(E_F), states/eV/cell: 8.18
ΔE to the lowest computed polymorph, meV/atom: 4
SG: P-3m1 (164)

***

Below is TlIn2HgIr after structural relaxation, with properties calculated at the PBE level.

Cell: 5.1681 5.1681 5.3790 Å, 90.00 90.00 90.00°
Atoms (fractional coordinates):
Tl 0.5000 0.5000 0.5000
Ir 0.0000 0.0000 0.0000
Hg 0.0000 0.0000 0.5000
In 0.0000 0.5000 0.0000
In 0.5000 0.0000 0.0000

Output
Magnetic moment, μB per formula unit: 0.00
D(E_F), states/eV/cell: 1.89
ΔE to the lowest computed polymorph, meV/atom: 67
SG: P4/mmm (123)

***

Below is CsZn2SbAs after structural relaxation, with properties calculated at the PBE level.

Cell: 4.1276 9.0713 8.4181 Å, 103.79 90.00 90.00°
Atoms (fractional coordinates):
Cs 0.2500 0.9533 0.2193
Cs 0.7500 0.0467 0.7807
Zn 0.7500 0.5171 0.6416
Zn 0.2500 0.4829 0.3584
Zn 0.7500 0.4894 0.1144
Zn 0.2500 0.5106 0.8856
Sb 0.2500 0.3068 0.5773
Sb 0.7500 0.6932 0.4227
As 0.2500 0.3167 0.0714
As 0.7500 0.6833 0.9286

Output
Magnetic moment, μB per formula unit: 0.00
D(E_F), states/eV/cell: 4.06
Energy, Ha/atom: -0.099
SG: P2_1/m (11)

***

Below is ScFe2Pd2 after structural relaxation, with properties calculated at the PBE level.

Cell: 7.4144 7.4144 2.8188 Å, 90.00 90.00 90.00°
Site moments in Bohr magnetons follow the coordinates.
Atoms (fractional coordinates):
Sc 0.0000 0.0000 0.0000  -0.32
Sc 0.5000 0.5000 0.0000  -0.32
Fe 0.3874 0.8874 0.0000  2.81
Fe 0.8874 0.6126 0.0000  2.81
Fe 0.6126 0.1126 0.0000  2.81
Fe 0.1126 0.3874 0.0000  2.81
Pd 0.1814 0.6814 0.5000  0.28
Pd 0.6814 0.8186 0.5000  0.27
Pd 0.8186 0.3186 0.5000  0.28
Pd 0.3186 0.1814 0.5000  0.27

Output
Magnetic moment, μB per formula unit: 5.77
D(E_F), states/eV/cell: 10.32
ΔE to the lowest computed polymorph, meV/atom: 0
SG: P4/mbm (127)

***

Below is LiTm2In2 after structural relaxation, with properties calculated at the PBE level.

Cell: 4.7955 5.9887 9.8573 Å, 92.79 75.92 66.40°
Atoms (fractional coordinates):
Li 0.3916 0.8794 0.3373
Li 0.6084 0.1206 0.6627
Tm 0.9128 0.2537 0.9206
Tm 0.3116 0.7249 0.6519
Tm 0.0872 0.7463 0.0794
Tm 0.6884 0.2751 0.3481
In 0.3353 0.1937 0.1357
In 0.9537 0.6871 0.4056
In 0.6647 0.8063 0.8643
In 0.0463 0.3129 0.5944

Output
Magnetic moment, μB per formula unit: 0.00
D(E_F), states/eV/cell: 6.19
ΔE to the lowest computed polymorph, meV/atom: 0
SG: C2/m (12)

***

Below is Rb2SrLi2F7 after structural relaxation, with properties calculated at the PBE level.

Cell: 4.0456 4.0456 11.2040 Å, 79.49 79.49 90.00°
Site moments in Bohr magnetons follow the coordinates.
Atoms (fractional coordinates):
Rb 0.8205 0.8205 0.3606  0.00
Rb 0.1795 0.1795 0.6394  0.00
Sr 0.0000 0.0000 0.0000  0.00
Li 0.5930 0.5930 0.8141  0.00
Li 0.4070 0.4070 0.1859  0.00
F 0.5000 0.5000 0.0000  0.25
F 0.3153 0.3153 0.3714  0.13
F 0.6847 0.6847 0.6286  0.13
F 0.9215 0.4213 0.1591  0.13
F 0.4213 0.9215 0.1591  0.13
F 0.5787 0.0785 0.8409  0.13
F 0.0785 0.5787 0.8409  0.13

Output
Magnetic moment, μB per formula unit: 1.15
D(E_F), states/eV/cell: 15.24
Energy, Ha/atom: -0.167
SG: C2/m (12)

***

Below is NbCo2Cu2 after structural relaxation, with properties calculated at the PBE level.

Cell: 6.7275 6.7275 2.7980 Å, 90.00 90.00 90.00°
Site moments in Bohr magnetons follow the coordinates.
Atoms (fractional coordinates):
Nb 0.0000 0.0000 0.0000  -0.12
Nb 0.5000 0.5000 0.0000  -0.12
Co 0.3721 0.8721 0.0000  0.39
Co 0.8721 0.6279 0.0000  0.37
Co 0.6279 0.1279 0.0000  0.39
Co 0.1279 0.3721 0.0000  0.37
Cu 0.1672 0.6672 0.5000  0.03
Cu 0.6672 0.8328 0.5000  0.02
Cu 0.8328 0.3328 0.5000  0.03
Cu 0.3328 0.1672 0.5000  0.02

Output
Magnetic moment, μB per formula unit: 0.64
D(E_F), states/eV/cell: 11.69
ΔE to the lowest computed polymorph, meV/atom: 0
SG: P4/mbm (127)

***

Below is LaSmI6 after structural relaxation, with properties calculated at the PBE level.

Cell: 8.2327 8.2327 7.7403 Å, 98.15 98.15 123.91°
Atoms (fractional coordinates):
La 0.0000 0.0000 0.0000
Sm 0.5000 0.5000 0.5000
I 0.5939 0.8915 0.7442
I 0.8915 0.5939 0.7442
I 0.1085 0.4061 0.2558
I 0.4061 0.1085 0.2558
I 0.2515 0.2515 0.7460
I 0.7485 0.7485 0.2540

Output
Magnetic moment, μB per formula unit: 0.00
D(E_F), states/eV/cell: 0.00
ΔE to the lowest computed polymorph, meV/atom: 0
SG: C2/m (12)

***

Below is KMgInBr6 after structural relaxation, with properties calculated at the PBE level.

Cell: 7.0203 7.0203 14.6868 Å, 90.00 90.00 120.00°
Atoms (fractional coordinates):
K 0.0000 0.0000 0.0000
K 0.0000 0.0000 0.5000
Mg 0.3333 0.6667 0.2500
Mg 0.6667 0.3333 0.7500
In 0.6667 0.3333 0.2500
In 0.3333 0.6667 0.7500
Br 0.6279 0.6303 0.1437
Br 0.0024 0.3721 0.1437
Br 0.3721 0.0024 0.6437
Br 0.9976 0.6279 0.8563
Br 0.3697 0.3721 0.3563
Br 0.0024 0.6303 0.3563
Br 0.6303 0.0024 0.8563
Br 0.6279 0.9976 0.3563
Br 0.9976 0.3697 0.6437
Br 0.3697 0.9976 0.1437
Br 0.6303 0.6279 0.6437
Br 0.3721 0.3697 0.8563

Output
Magnetic moment, μB per formula unit: 0.00
D(E_F), states/eV/cell: 0.00
Energy, Ha/atom: -0.109
SG: P-31c (163)

***

Below is Pm2Fe5C4 after structural relaxation, with properties calculated at the PBE level.

Cell: 5.0200 5.3474 5.7276 Å, 78.13 64.01 62.01°
Atoms (fractional coordinates):
Pm 0.8524 0.0000 0.2952
Pm 0.1476 0.0000 0.7048
Fe 0.5000 0.0000 0.0000
Fe 0.0000 0.5000 0.0000
Fe 0.5000 0.5000 0.0000
Fe 0.2500 0.5000 0.5000
Fe 0.7500 0.5000 0.5000
C 0.4660 0.3276 0.7405
C 0.5340 0.6724 0.2595
C 0.2064 0.3276 0.2595
C 0.7936 0.6724 0.7405

Output
Magnetic moment, μB per formula unit: 0.00
D(E_F), states/eV/cell: 3.58
Energy, Ha/atom: -0.301
SG: Fmmm (69)

***

Below is TiNiGe after structural relaxation, with properties calculated at the PBE level.

Cell: 2.9203 2.9203 5.3132 Å, 105.95 105.95 90.00°
Atoms (fractional coordinates):
Ni 0.9365 0.9365 0.8729
Ge 0.3001 0.3001 0.6002
Ti 0.6134 0.6134 0.2268

Output
Magnetic moment, μB per formula unit: 0.00
D(E_F), states/eV/cell: 2.67
Energy, Ha/atom: -0.237
SG: I4mm (107)

***

Below is Ca2Ac2Rh after structural relaxation, with properties calculated at the PBE level.

Cell: 5.8246 5.8147 5.8147 Å, 90.00 90.00 90.00°
Atoms (fractional coordinates):
Ca 0.5000 0.5000 0.5000
Ca 0.5000 0.0000 0.0000
Ac 0.0000 0.0000 0.5000
Ac 0.0000 0.5000 0.0000
Rh 0.0000 0.0000 0.0000

Output
Magnetic moment, μB per formula unit: 0.00
D(E_F), states/eV/cell: 4.22
Energy, Ha/atom: -0.155
SG: P4/mmm (123)

***

Below is ReSnN3 after structural relaxation, with properties calculated at the PBE level.

Cell: 3.9537 3.9537 3.9537 Å, 90.00 90.00 90.00°
Atoms (fractional coordinates):
Re 0.0000 0.0000 0.0000
Sn 0.5000 0.5000 0.5000
N 0.0000 0.5000 0.0000
N 0.0000 0.0000 0.5000
N 0.5000 0.0000 0.0000

Output
Magnetic moment, μB per formula unit: 0.00
D(E_F), states/eV/cell: 2.10
Energy, Ha/atom: -0.285
SG: Pm-3m (221)

***

Below is CeLuCdHg after structural relaxation, with properties calculated at the PBE level.

Cell: 5.3214 5.3214 5.3214 Å, 60.00 60.00 60.00°
Site moments in Bohr magnetons follow the coordinates.
Atoms (fractional coordinates):
Lu 0.5000 0.5000 0.5000  0.13
Hg 0.2500 0.2500 0.2500  0.02
Ce 0.0000 0.0000 0.0000  0.83
Cd 0.7500 0.7500 0.7500  0.02

Output
Magnetic moment, μB per formula unit: 1.27
D(E_F), states/eV/cell: 10.67
Energy, Ha/atom: -0.117
SG: F-43m (216)

***

Below is CsLa2OsO8 after structural relaxation, with properties calculated at the PBE level.

Cell: 5.3877 4.5107 7.8667 Å, 73.72 89.87 89.74°
Site moments in Bohr magnetons follow the coordinates.
Atoms (fractional coordinates):
Cs 0.0000 0.0000 0.5000  0.00
La 0.5005 0.3760 0.8064  0.01
La 0.4995 0.6240 0.1936  0.01
Os 0.0000 0.0000 0.0000  0.39
O 0.0013 0.6645 0.2041  0.02
O 0.7351 0.8191 0.8971  0.03
O 0.7396 0.1846 0.1051  0.03
O 0.9987 0.3355 0.7959  0.02
O 0.2649 0.1809 0.1029  0.03
O 0.2604 0.8154 0.8949  0.03
O 0.5017 0.6690 0.4939  0.00
O 0.4983 0.3310 0.5061  0.00

Output
Magnetic moment, μB per formula unit: 0.63
D(E_F), states/eV/cell: 4.16
Energy, Ha/atom: -0.263
SG: P-1 (2)

***

Below is Pm2Ge3PPt4 after structural relaxation, with properties calculated at the PBE level.

Cell: 4.3989 4.3989 9.7852 Å, 90.00 90.00 90.00°
Atoms (fractional coordinates):
Pm 0.5000 0.0000 0.2567
Pm 0.0000 0.5000 0.7433
Ge 0.0000 0.0000 0.5000
Ge 0.5000 0.0000 0.8679
Ge 0.0000 0.5000 0.1321
P 0.5000 0.5000 0.5000
Pt 0.5000 0.5000 0.0000
Pt 0.0000 0.0000 0.0000
Pt 0.5000 0.0000 0.6144
Pt 0.0000 0.5000 0.3856

Output
Magnetic moment, μB per formula unit: 0.00
D(E_F), states/eV/cell: 6.59
Energy, Ha/atom: -0.228
SG: P-4m2 (115)

***

Below is AcHoZn3 after structural relaxation, with properties calculated at the PBE level.

Cell: 3.7959 4.6322 13.9582 Å, 90.00 97.81 90.00°
Atoms (fractional coordinates):
Ac 0.9234 0.7500 0.8468
Ac 0.0766 0.2500 0.1532
Ho 0.2107 0.7500 0.4215
Ho 0.7893 0.2500 0.5785
Zn 0.6261 0.7500 0.2521
Zn 0.3739 0.2500 0.7479
Zn 0.5238 0.7500 0.0476
Zn 0.4762 0.2500 0.9524
Zn 0.6799 0.2500 0.3597
Zn 0.3201 0.7500 0.6403

Output
Magnetic moment, μB per formula unit: 0.00
D(E_F), states/eV/cell: 9.34
Energy, Ha/atom: -0.102
SG: Cmcm (63)

***

Below is LaBeGeAu2 after structural relaxation, with properties calculated at the PBE level.

Cell: 4.6005 4.6005 4.8100 Å, 90.00 90.00 90.00°
Atoms (fractional coordinates):
Be 0.0000 0.0000 0.0000
Ge 0.0000 0.0000 0.5000
Au 0.0000 0.5000 0.0000
Au 0.5000 0.0000 0.0000
La 0.5000 0.5000 0.5000

Output
Magnetic moment, μB per formula unit: 0.00
D(E_F), states/eV/cell: 2.71
Energy, Ha/atom: -0.160
SG: P4/mmm (123)

***

Below is CsKSr2Cd after structural relaxation, with properties calculated at the PBE level.

Cell: 6.5751 6.5751 7.2064 Å, 90.00 90.00 90.00°
Atoms (fractional coordinates):
Cs 0.5000 0.5000 0.5000
Sr 0.0000 0.5000 0.0000
Sr 0.5000 0.0000 0.0000
K 0.0000 0.0000 0.5000
Cd 0.0000 0.0000 0.0000

Output
Magnetic moment, μB per formula unit: 0.00
D(E_F), states/eV/cell: 4.61
ΔE to the lowest computed polymorph, meV/atom: 0
SG: P4/mmm (123)

***

Below is NiAs2SBr after structural relaxation, with properties calculated at the PBE level.

Cell: 4.6996 4.6996 4.6658 Å, 90.00 90.00 90.00°
Atoms (fractional coordinates):
Ni 0.0000 0.0000 0.0000
As 0.0000 0.5000 0.0000
As 0.5000 0.0000 0.0000
S 0.5000 0.5000 0.5000
Br 0.0000 0.0000 0.5000

Output
Magnetic moment, μB per formula unit: 0.00
D(E_F), states/eV/cell: 4.41
ΔE to the lowest computed polymorph, meV/atom: 0
SG: P4/mmm (123)